Record 1
Below is crystalline Ce6PuPt2 at its relaxed geometry, with properties calculated at the PBE level.

a b c (Å): 6.400 7.487 9.943
angles (deg): 90.00 91.29 90.00
Fractional positions:
Ce: 0.875 0.968 0.264
Pt: 0.936 0.399 0.732
Pt: 0.436 0.101 0.232
Pu: 0.000 0.000 0.500
Pt: 0.064 0.601 0.268
Ce: 0.327 0.844 0.441
Ce: 0.625 0.468 0.236
Ce: 0.125 0.032 0.736
Pu: 0.500 0.500 0.000
Pt: 0.564 0.899 0.768
Ce: 0.350 0.794 0.057
Ce: 0.650 0.206 0.943
Ce: 0.150 0.294 0.443
Ce: 0.850 0.706 0.557
Ce: 0.827 0.656 0.941
Ce: 0.375 0.532 0.764
Ce: 0.673 0.156 0.559
Ce: 0.173 0.344 0.059

Record 2
Below is crystalline CePu3Pt8 at its relaxed geometry, with properties calculated at the PBE level.

a b c (Å): 5.453 5.453 9.005
angles (deg): 90.00 90.00 120.00
Fractional positions:
Pt: 0.165 0.330 0.250
Pt: 0.502 0.004 0.750
Pt: 0.670 0.835 0.250
Pu: 0.000 0.000 0.945
Pt: 0.165 0.835 0.250
Pt: 0.996 0.498 0.750
Pu: 0.667 0.333 0.056
Pt: 0.333 0.667 0.500
Ce: 0.000 0.000 0.566
Pt: 0.502 0.498 0.750
Pt: 0.333 0.667 0.000
Pu: 0.667 0.333 0.433

Record-wise spin magnetization values, in Bohr magnetons per cell: 0.00, 4.88
Record-wise formation energy from the elements values, in eV/atom: -0.52, -0.84
Record-wise uncorrected energy values, in eV/atom: -7.41, -8.95